The following is a DFT calculation (SCAN) of a PBEsol-optimized structure of BeSiBr3.

Cell: 4.718 4.718 4.718 Å, 90.00 90.00 90.00°
Space group Pm-3m (No. 221)
Unique sites:
Be 0.000 0.000 0.000
Si 0.500 0.500 0.500
Br 0.000 0.000 0.500

Computed properties:
formation energy from raw total energies: 0.13 eV/atom
calculated density: 4.38 g cm⁻³
magnetic moment: 0.002 μB per atom
energy: -14.418 eV/atom
volume: 21.0 Å³ per atom

***

The following is a DFT calculation (SCAN) of a PBEsol-optimized structure of Y2PtBr.

Cell: 3.985 3.985 11.550 Å, 90.00 90.00 90.00°
Space group I-4m2 (No. 119)
Unique sites:
Y 0.000 0.000 0.000
Y 0.000 0.500 0.250
Pt 0.000 0.500 0.750
Br 0.000 0.000 0.500

Computed properties:
formation energy from raw total energies: -0.92 eV/atom
calculated density: 8.20 g cm⁻³
magnetic moment: 0.000 μB per atom
energy relative to the lowest polymorph listed for this composition: 579 meV per atom
energy: -37.259 eV/atom
volume: 22.9 Å³ per atom

***

The following is a DFT calculation (SCAN) of a PBEsol-optimized structure of NiBiCl3.

Cell: 5.378 5.378 5.378 Å, 90.00 90.00 90.00°
Space group Pm-3m (No. 221)
Unique sites:
Ni 0.000 0.000 0.000
Bi 0.500 0.500 0.500
Cl 0.000 0.500 0.500

Computed properties:
formation energy from raw total energies: 0.23 eV/atom
calculated density: 3.99 g cm⁻³
magnetic moment: 0.497 μB per atom
energy: -23.512 eV/atom
volume: 31.1 Å³ per atom

***

The following is a DFT calculation (SCAN) of a PBEsol-optimized structure of Fe2PW.

Cell: 2.810 2.810 5.942 Å, 90.00 90.00 90.00°
Space group P4mm (No. 99)
Unique sites:
Fe 0.000 0.000 0.000
Fe 0.500 0.500 0.258
P 0.000 0.000 0.440
W 0.500 0.500 0.731

Computed properties:
formation enthalpy at 0 K: 45 meV/atom
calculated density: 11.55 g cm⁻³
magnetic moment: 0.813 μB per atom
energy: -29.041 eV/atom
volume: 11.7 Å³ per atom

***

The following is a DFT calculation (SCAN) of a PBEsol-optimized structure of Mo5Pt.

Cell: 4.586 2.617 15.302 Å, 90.00 90.00 90.00°
Space group Amm2 (No. 38)
Unique sites:
Mo 0.000 0.000 0.000
Mo 0.000 0.000 0.328
Mo 0.500 0.000 0.228
Mo 0.500 0.000 0.565
Mo 0.500 0.000 0.899
Pt 0.000 0.000 0.668

Computed properties:
formation enthalpy at 0 K: 143 meV/atom
calculated density: 12.20 g cm⁻³
magnetic moment: 0.000 μB per atom
energy relative to the lowest polymorph listed for this composition: 47 meV per atom
energy: -40.627 eV/atom
volume: 15.3 Å³ per atom

***

The following is a DFT calculation (SCAN) of a PBEsol-optimized structure of Sr3InSn.

Cell: 6.222 6.222 6.222 Å, 90.00 90.00 90.00°
Space group Pm-3m (No. 221)
Unique sites:
Sr 0.000 0.000 0.500
In 0.500 0.500 0.500
Sn 0.000 0.000 0.000

Computed properties:
formation enthalpy at 0 K: -174 meV/atom
calculated density: 3.42 g cm⁻³
magnetic moment: 0.000 μB per atom
energy relative to the lowest polymorph listed for this composition: 0 meV per atom
energy: -27.401 eV/atom
volume: 48.2 Å³ per atom

***

The following is a DFT calculation (SCAN) of a PBEsol-optimized structure of KMgSeN2.

Cell: 4.630 4.630 6.053 Å, 90.00 90.00 90.00°
Space group P4/mmm (No. 123)
Unique sites:
K 0.000 0.000 0.000
Mg 0.500 0.500 0.500
Se 0.000 0.000 0.500
N 0.000 0.500 0.000

Computed properties:
formation energy from raw total energies: 1.56 eV/atom
calculated density: 2.18 g cm⁻³
magnetic moment: 1.004 μB per atom
energy relative to the lowest polymorph listed for this composition: 973 meV per atom
energy: -8.836 eV/atom
volume: 26.0 Å³ per atom

***

The following is a DFT calculation (SCAN) of a PBEsol-optimized structure of MgZn2W.

Cell: 3.405 4.209 8.633 Å, 90.00 90.00 90.00°
Space group Cmm2 (No. 35)
Unique sites:
Mg 0.000 0.000 0.000
Zn 0.000 0.000 0.505
Zn 0.000 0.500 0.739
W 0.000 0.500 0.264

Computed properties:
formation enthalpy at 0 K: 189 meV/atom
calculated density: 9.10 g cm⁻³
magnetic moment: 0.000 μB per atom
energy: -25.234 eV/atom
volume: 15.5 Å³ per atom

***

The following is a DFT calculation (SCAN) of a PBEsol-optimized structure of AlCoPd2Cl.

Cell: 4.529 4.529 4.542 Å, 90.00 90.00 90.00°
Space group P4/mmm (No. 123)
Unique sites:
Al 0.000 0.000 0.000
Co 0.000 0.000 0.500
Pd 0.000 0.500 0.500
Cl 0.500 0.500 0.000

Computed properties:
formation energy from raw total energies: 0.57 eV/atom
calculated density: 5.96 g cm⁻³
magnetic moment: 0.481 μB per atom
energy: -19.150 eV/atom
volume: 18.6 Å³ per atom

***

The following is a DFT calculation (SCAN) of a PBEsol-optimized structure of CuMo2Os.

Cell: 6.090 6.090 6.090 Å, 90.00 90.00 90.00°
Space group F-43m (No. 216)
Unique sites:
Cu 0.000 0.000 0.000
Mo 0.000 0.000 0.500
Mo 0.250 0.250 0.250
Os 0.250 0.250 0.750

Computed properties:
formation enthalpy at 0 K: 264 meV/atom
calculated density: 13.11 g cm⁻³
magnetic moment: 0.000 μB per atom
energy relative to the lowest polymorph listed for this composition: 127 meV per atom
energy: -38.949 eV/atom
volume: 14.1 Å³ per atom

***

The following is a DFT calculation (SCAN) of a PBEsol-optimized structure of LuGaRh2.

Cell: 6.263 6.263 6.263 Å, 90.00 90.00 90.00°
Space group Fm-3m (No. 225)
Unique sites:
Lu 0.000 0.000 0.000
Ga 0.000 0.000 0.500
Rh 0.250 0.250 0.250

Computed properties:
formation enthalpy at 0 K: -1036 meV/atom
calculated density: 12.18 g cm⁻³
magnetic moment: 0.000 μB per atom
energy: -35.844 eV/atom
volume: 15.4 Å³ per atom

***

The following is a DFT calculation (SCAN) of a PBEsol-optimized structure of KSrSe2Br.

Cell: 5.827 5.827 5.896 Å, 90.00 90.00 90.00°
Space group P4/mmm (No. 123)
Unique sites:
K 0.000 0.000 0.000
Sr 0.500 0.500 0.500
Se 0.000 0.500 0.500
Br 0.500 0.500 0.000

Computed properties:
formation energy from raw total energies: -1.09 eV/atom
calculated density: 3.02 g cm⁻³
magnetic moment: 0.403 μB per atom
energy: -19.131 eV/atom
volume: 40.0 Å³ per atom

***

The following is a DFT calculation (SCAN) of a PBEsol-optimized structure of CaZnSe2.

Cell: 3.944 3.944 5.853 Å, 90.00 90.00 90.00°
Space group P4mm (No. 99)
Unique sites:
Ca 0.000 0.000 0.000
Zn 0.500 0.500 0.561
Se 0.000 0.000 0.495
Se 0.500 0.500 0.983

Computed properties:
formation energy from raw total energies: -1.27 eV/atom
calculated density: 4.80 g cm⁻³
magnetic moment: 0.000 μB per atom
energy: -17.102 eV/atom
volume: 22.8 Å³ per atom

***

The following is a DFT calculation (SCAN) of a PBEsol-optimized structure of NaHgCl3.

Cell: 7.685 4.063 16.363 Å, 90.00 90.00 90.00°
Space group Pnma (No. 62)
Unique sites:
Na 0.157 0.250 0.130
Hg 0.159 0.250 0.406
Cl 0.002 0.750 0.719
Cl 0.110 0.250 0.902
Cl 0.152 0.250 0.556

Computed properties:
formation energy from raw total energies: -1.15 eV/atom
calculated density: 4.29 g cm⁻³
magnetic moment: 0.000 μB per atom
energy: -20.416 eV/atom
volume: 25.5 Å³ per atom

***

The following is a DFT calculation (SCAN) of a PBEsol-optimized structure of K3NaMg.

Cell: 6.889 6.889 6.889 Å, 90.00 90.00 90.00°
Space group Pm-3m (No. 221)
Unique sites:
K 0.000 0.000 0.500
Na 0.500 0.500 0.500
Mg 0.000 0.000 0.000

Computed properties:
formation enthalpy at 0 K: 274 meV/atom
calculated density: 0.84 g cm⁻³
magnetic moment: 0.000 μB per atom
energy: -6.561 eV/atom
volume: 65.4 Å³ per atom

***

The following is a DFT calculation (SCAN) of a PBEsol-optimized structure of Sr3MoOs.

Cell: 5.403 5.403 5.403 Å, 90.00 90.00 90.00°
Space group Pm-3m (No. 221)
Unique sites:
Sr 0.000 0.000 0.500
Mo 0.000 0.000 0.000
Os 0.500 0.500 0.500

Computed properties:
formation enthalpy at 0 K: 1874 meV/atom
calculated density: 5.78 g cm⁻³
magnetic moment: 0.726 μB per atom
energy: -32.844 eV/atom
volume: 31.5 Å³ per atom

***

The following is a DFT calculation (SCAN) of a PBEsol-optimized structure of KCr3Mo.

Cell: 4.108 4.108 4.108 Å, 90.00 90.00 90.00°
Space group Pm-3m (No. 221)
Unique sites:
K 0.000 0.000 0.000
Cr 0.000 0.000 0.500
Mo 0.500 0.500 0.500

Computed properties:
formation enthalpy at 0 K: 2882 meV/atom
calculated density: 6.97 g cm⁻³
magnetic moment: 1.170 μB per atom
energy: -16.791 eV/atom
volume: 13.9 Å³ per atom

***

The following is a DFT calculation (SCAN) of a PBEsol-optimized structure of TaTiTlO5.

Cell: 6.428 3.793 18.755 Å, 90.00 90.00 90.00°
Space group Pnma (No. 62)
Unique sites:
Ta 0.226 0.250 0.107
Ti 0.180 0.250 0.466
Tl 0.229 0.250 0.799
O 0.035 0.250 0.381
O 0.062 0.750 0.931
O 0.145 0.750 0.492
O 0.159 0.250 0.201
O 0.241 0.750 0.078

Computed properties:
formation energy from raw total energies: -2.77 eV/atom
calculated density: 7.46 g cm⁻³
magnetic moment: 0.000 μB per atom
energy: -26.032 eV/atom
volume: 14.3 Å³ per atom

***

The following is a DFT calculation (SCAN) of a PBEsol-optimized structure of Ga3NiPb.

Cell: 4.606 4.606 4.606 Å, 90.00 90.00 90.00°
Space group Pm-3m (No. 221)
Unique sites:
Ga 0.000 0.000 0.500
Ni 0.000 0.000 0.000
Pb 0.500 0.500 0.500

Computed properties:
formation enthalpy at 0 K: 23 meV/atom
calculated density: 8.08 g cm⁻³
magnetic moment: 0.000 μB per atom
energy: -28.176 eV/atom
volume: 19.5 Å³ per atom

***

The following is a DFT calculation (SCAN) of a PBEsol-optimized structure of Cd2InSb.

Cell: 4.254 4.713 4.794 Å, 90.00 90.00 90.00°
Space group Pmmm (No. 47)
Unique sites:
Cd 0.000 0.000 0.000
Cd 0.500 0.500 0.000
In 0.000 0.500 0.500
Sb 0.500 0.000 0.500

Computed properties:
formation energy from raw total energies: 0.11 eV/atom
calculated density: 7.97 g cm⁻³
magnetic moment: 0.000 μB per atom
energy relative to the lowest polymorph listed for this composition: 13 meV per atom
energy: -32.754 eV/atom
volume: 24.0 Å³ per atom